# 1
Below is Sc2MnP after structural relaxation, with properties calculated at the PBE level.

Computed properties:
Energy   -7.3732 eV/atom
Space-group type   No. 123
DFT formation energy   -0.5626 eV per atom
Crystal system   tetragonal

a b c (Å): 3.3789 3.3789 5.9675
angles (deg): 90.00 90.00 90.00
Each line ends with the local moment (μB).
Positions (direct):
Sc (0.0000, 0.0000, 0.7390)  -0.30
Sc (0.0000, 0.0000, 0.2610)  -0.30
Mn (0.5000, 0.5000, 0.0000)  2.79
P (0.5000, 0.5000, 0.5000)  0.03

# 2
Below is NdZn2SiIr after structural relaxation, with properties calculated at the PBE level.

Computed properties:
Energy   -4.8467 eV/atom
Space-group type   No. 44
Crystal system   orthorhombic
Formation energy from raw total energies   -0.527 eV per atom

a b c (Å): 3.9579 4.2261 6.1351
angles (deg): 110.15 108.82 90.00
Positions (direct):
Nd (0.4381, 0.4381, 0.8762)
Zn (0.6961, 0.1961, 0.3922)
Zn (0.0543, 0.0543, 0.1086)
Si (0.8236, 0.8236, 0.6471)
Ir (0.2001, 0.7001, 0.4001)

# 3
Below is LiTm2Pd3 after structural relaxation, with properties calculated at the PBE level.

Computed properties:
Energy   -5.2229 eV/atom
Space-group type   No. 123
DFT formation energy   -0.8170 eV per atom
E above lowest polymorph   0.0000 eV/atom
Crystal system   tetragonal

a b c (Å): 3.4361 3.4361 9.4168
angles (deg): 90.00 90.00 90.00
Positions (direct):
Li (0.5000, 0.5000, 0.5000)
Tm (0.5000, 0.5000, 0.8156)
Tm (0.5000, 0.5000, 0.1844)
Pd (0.0000, 0.0000, 0.0000)
Pd (0.0000, 0.0000, 0.6494)
Pd (0.0000, 0.0000, 0.3506)

# 4
Below is Nd2IrSe after structural relaxation, with properties calculated at the PBE level.

Computed properties:
Energy   -6.6548 eV/atom
Space-group type   No. 12
E above lowest polymorph   0.0159 eV/atom
Crystal system   monoclinic
Formation energy from raw total energies   -1.185 eV per atom

a b c (Å): 4.1269 4.1269 7.6378
angles (deg): 90.08 105.62 119.95
Positions (direct):
Nd (0.5148, 0.2575, 0.7723)
Nd (0.4852, 0.7425, 0.2277)
Ir (0.0000, 0.0000, 0.0000)
Se (0.0000, 0.5000, 0.5000)